#w
# Ni

A geometry-optimized Ni structure (PBE, the Open Quantum Materials Database).

Cell and atoms, written as POSCAR:
```
Ni
1.0
4.5890 0.0000 0.0000
-2.2945 3.9742 0.0000
0.0000 0.0000 14.9106
Ni
24
direct
0.0000 0.0000 0.0931
0.0000 0.0000 0.4069
0.0000 0.0000 0.5931
0.0000 0.0000 0.9069
0.0000 0.5000 0.0000
0.0000 0.5000 0.5000
0.1623 0.3245 0.2500
0.1623 0.8377 0.2500
0.3245 0.1623 0.7500
0.3333 0.6667 0.1264
0.3333 0.6667 0.3736
0.3333 0.6667 0.6556
0.3333 0.6667 0.8444
0.5000 0.0000 0.0000
0.5000 0.0000 0.5000
0.5000 0.5000 0.0000
0.5000 0.5000 0.5000
0.6667 0.3333 0.1556
0.6667 0.3333 0.3444
0.6667 0.3333 0.6264
0.6667 0.3333 0.8736
0.6755 0.8377 0.2500
0.8377 0.1623 0.7500
0.8377 0.6755 0.7500
```


#x
# Ni

A geometry-optimized Ni structure (PBE, the Open Quantum Materials Database).

Cell and atoms, written as POSCAR:
```
Ni
1.0
3.9732 0.0000 0.0000
-1.9866 3.4409 0.0000
0.0000 0.0000 2.3966
Ni
3
direct
0.0000 0.0000 0.0000
0.3333 0.6667 0.5000
0.6667 0.3333 0.5000
```


#y
# Ni

A geometry-optimized Ni structure (PBE, the Open Quantum Materials Database).

Cell and atoms, written as POSCAR:
```
Ni
1.0
2.2930 1.3238 8.0010
-2.2930 1.3238 8.0010
0.0000 -2.6477 8.0010
Ni
13
direct
0.0000 0.0000 0.0000
0.0890 0.0890 0.5840
0.0890 0.5840 0.0890
0.1658 0.1658 0.1658
0.3484 0.3484 0.3484
0.4160 0.9110 0.9110
0.4524 0.4524 0.4524
0.5476 0.5476 0.5476
0.5840 0.0890 0.0890
0.6516 0.6516 0.6516
0.8342 0.8342 0.8342
0.9110 0.4160 0.9110
0.9110 0.9110 0.4160
```


#z
# Ni

A geometry-optimized Ni structure (PBE, the Open Quantum Materials Database).

Cell and atoms, written as POSCAR:
```
Ni
1.0
-1.2190 1.2190 3.9133
1.2190 -1.2190 3.9133
1.2190 1.2190 -3.9133
Ni
2
direct
0.1426 0.1426 0.0000
0.8574 0.8574 0.0000
```


Which of them is least stable? Easy: #z.


#w
# Ni

A geometry-optimized Ni structure (PBE, the Open Quantum Materials Database).

Cell and atoms, written as POSCAR:
```
Ni
1.0
3.8824 -1.7313 0.0000
3.8824 1.7313 0.0000
-0.1736 0.0000 27.9604
Ni
18
direct
0.0500 0.0500 0.0422
0.0513 0.0513 0.7636
0.1490 0.1490 0.1264
0.1504 0.1504 0.8453
0.2500 0.2500 0.9297
0.2506 0.2506 0.2106
0.3501 0.3501 0.0142
0.4484 0.4484 0.8159
0.4497 0.4497 0.0985
0.5503 0.5503 0.9015
0.5516 0.5516 0.1841
0.6499 0.6499 0.9858
0.7494 0.7494 0.7894
0.7500 0.7500 0.0703
0.8496 0.8496 0.1547
0.8510 0.8510 0.8736
0.9487 0.9487 0.2364
0.9500 0.9500 0.9578
```


#x
# Ni

A geometry-optimized Ni structure (PBE, the Open Quantum Materials Database).

Cell and atoms, written as POSCAR:
```
Ni
1.0
6.0191 0.0000 0.0000
0.0000 6.0191 0.0000
0.0000 0.0000 6.0191
Ni
20
direct
0.0501 0.1250 0.8001
0.0583 0.9417 0.4417
0.1250 0.8001 0.0501
0.1917 0.1917 0.1917
0.1999 0.5501 0.3750
0.3001 0.4499 0.8750
0.3083 0.8083 0.6917
0.3750 0.1999 0.5501
0.4417 0.0583 0.9417
0.4499 0.8750 0.3001
0.5501 0.3750 0.1999
0.5583 0.5583 0.5583
0.6250 0.6999 0.9499
0.6917 0.3083 0.8083
0.6999 0.9499 0.6250
0.8001 0.0501 0.1250
0.8083 0.6917 0.3083
0.8750 0.3001 0.4499
0.9417 0.4417 0.0583
0.9499 0.6250 0.6999
```


Which of them is least stable? Easy: #w.


#w
# Ni

A geometry-optimized Ni structure (PBE, the Open Quantum Materials Database).

Cell and atoms, written as POSCAR:
```
Ni
1.0
2.4524 0.0000 0.0000
0.0000 2.4524 0.0000
0.0000 0.0000 39.4658
Ni
16
direct
0.0000 0.0000 0.0000
0.0000 0.0000 0.0876
0.0000 0.0000 0.1764
0.0000 0.0000 0.2643
0.0000 0.0000 0.3526
0.0000 0.0000 0.4427
0.0000 0.0000 0.8224
0.0000 0.0000 0.9107
0.5000 0.5000 0.0439
0.5000 0.5000 0.1318
0.5000 0.5000 0.2202
0.5000 0.5000 0.3086
0.5000 0.5000 0.3969
0.5000 0.5000 0.4857
0.5000 0.5000 0.8658
0.5000 0.5000 0.9552
```


#x
# Ni

A geometry-optimized Ni structure (PBE, the Open Quantum Materials Database).

Cell and atoms, written as POSCAR:
```
Ni
1.0
4.5970 0.0000 0.0000
-2.2985 3.9811 0.0000
0.0000 0.0000 7.4067
Ni
12
direct
0.0000 0.0000 0.0000
0.0000 0.0000 0.5000
0.1708 0.3416 0.2500
0.1708 0.8292 0.2500
0.3333 0.6667 0.5630
0.3333 0.6667 0.9370
0.3416 0.1708 0.7500
0.6584 0.8292 0.2500
0.6667 0.3333 0.0630
0.6667 0.3333 0.4370
0.8292 0.1708 0.7500
0.8292 0.6584 0.7500
```


#y
# Ni

A geometry-optimized Ni structure (PBE, the Open Quantum Materials Database).

Cell and atoms, written as POSCAR:
```
Ni
1.0
8.5251 0.0000 0.0000
0.0000 8.5251 0.0000
0.0000 0.0000 4.5143
Ni
30
direct
0.0000 0.0000 0.0000
0.0372 0.3665 0.5000
0.0662 0.2647 0.0000
0.0989 0.0989 0.5000
0.1335 0.5372 0.0000
0.1824 0.8176 0.2505
0.1824 0.8176 0.7495
0.2353 0.5662 0.5000
0.2647 0.0662 0.0000
0.3176 0.3176 0.2495
0.3176 0.3176 0.7505
0.3665 0.0372 0.5000
0.4011 0.5989 0.0000
0.4338 0.7647 0.5000
0.4628 0.8665 0.0000
0.5000 0.5000 0.5000
0.5372 0.1335 0.0000
0.5662 0.2353 0.5000
0.5989 0.4011 0.0000
0.6335 0.9628 0.5000
0.6824 0.6824 0.2495
0.6824 0.6824 0.7505
0.7353 0.9338 0.0000
0.7647 0.4338 0.5000
0.8176 0.1824 0.2505
0.8176 0.1824 0.7495
0.8665 0.4628 0.0000
0.9011 0.9011 0.5000
0.9338 0.7353 0.0000
0.9628 0.6335 0.5000
```


Which of them is least stable? Easy: #x.


#w
# Ni

A geometry-optimized Ni structure (PBE, the Open Quantum Materials Database).

Cell and atoms, written as POSCAR:
```
Ni
1.0
2.4523 0.0000 0.0000
-1.2261 2.1237 0.0000
0.0000 0.0000 29.1534
Ni
9
direct
0.0000 0.0000 0.0000
0.0000 0.0000 0.2073
0.0000 0.0000 0.4147
0.3333 0.6667 0.1387
0.3333 0.6667 0.3457
0.3333 0.6667 0.9311
0.6667 0.3333 0.0691
0.6667 0.3333 0.2769
0.6667 0.3333 0.4844
```


#x
# Ni

A geometry-optimized Ni structure (PBE, the Open Quantum Materials Database).

Cell and atoms, written as POSCAR:
```
Ni
1.0
0.0000 1.9801 4.3438
1.2720 0.0000 4.3438
1.2720 1.9801 0.0000
Ni
2
direct
0.1317 0.1317 0.8683
0.8683 0.8683 0.1317
```


Which of them is least stable? Easy: #x.


#w
# Np3Ni

A geometry-optimized Np3Ni structure (PBE, the Open Quantum Materials Database).

Cell and atoms, written as POSCAR:
```
Np3Ni
1.0
0.0000 3.1964 3.1964
3.1964 0.0000 3.1964
3.1964 3.1964 0.0000
Np Ni
3 1
direct
0.0000 0.0000 0.0000
0.2500 0.2500 0.2500
0.7500 0.7500 0.7500
0.5000 0.5000 0.5000
```


#x
# Np3Ni

A geometry-optimized Np3Ni structure (PBE, the Open Quantum Materials Database).

Cell and atoms, written as POSCAR:
```
Np3Ni
1.0
4.1203 0.0000 0.0000
0.0000 4.1203 0.0000
0.0000 0.0000 4.1203
Np Ni
3 1
direct
0.0000 0.0000 0.5000
0.0000 0.5000 0.0000
0.5000 0.0000 0.0000
0.5000 0.5000 0.5000
```


#y
# Np3Ni

A geometry-optimized Np3Ni structure (PBE, the Open Quantum Materials Database).

Cell and atoms, written as POSCAR:
```
Np3Ni
1.0
6.2613 0.0000 0.0000
-3.1306 5.4224 0.0000
0.0000 0.0000 3.9897
Np Ni
6 2
direct
0.1644 0.3288 0.2500
0.1644 0.8356 0.2500
0.3288 0.1644 0.7500
0.6712 0.8356 0.2500
0.8356 0.1644 0.7500
0.8356 0.6712 0.7500
0.3333 0.6667 0.7500
0.6667 0.3333 0.2500
```


Which of them is least stable? Easy: #x.


#w
# NpZnNi

A geometry-optimized NpZnNi structure (PBE, the Open Quantum Materials Database).

Cell and atoms, written as POSCAR:
```
NpZnNi
1.0
0.0000 3.1247 3.1247
3.1247 0.0000 3.1247
3.1247 3.1247 0.0000
Np Zn Ni
1 1 1
direct
0.0000 0.0000 0.0000
0.2500 0.2500 0.2500
0.7500 0.7500 0.7500
```


#x
# NpZnNi

A geometry-optimized NpZnNi structure (PBE, the Open Quantum Materials Database).

Cell and atoms, written as POSCAR:
```
NpZnNi
1.0
0.0000 3.0717 3.0717
3.0717 0.0000 3.0717
3.0717 3.0717 0.0000
Np Zn Ni
1 1 1
direct
0.0000 0.0000 0.0000
0.7500 0.7500 0.7500
0.5000 0.5000 0.5000
```


Which of them is least stable? Easy: #x.


#w
# PmNiOs

A geometry-optimized PmNiOs structure (PBE, the Open Quantum Materials Database).

Cell and atoms, written as POSCAR:
```
PmNiOs
1.0
0.0000 3.1714 3.1714
3.1714 0.0000 3.1714
3.1714 3.1714 0.0000
Pm Ni Os
1 1 1
direct
0.0000 0.0000 0.0000
0.7500 0.7500 0.7500
0.2500 0.2500 0.2500
```


#x
# PmNiOs

A geometry-optimized PmNiOs structure (PBE, the Open Quantum Materials Database).

Cell and atoms, written as POSCAR:
```
PmNiOs
1.0
0.0000 3.1079 3.1079
3.1079 0.0000 3.1079
3.1079 3.1079 0.0000
Pm Ni Os
1 1 1
direct
0.0000 0.0000 0.0000
0.7500 0.7500 0.7500
0.5000 0.5000 0.5000
```


Which of them is least stable? Easy: #w.


#w
# RbNiOs

A geometry-optimized RbNiOs structure (PBE, the Open Quantum Materials Database).

Cell and atoms, written as POSCAR:
```
RbNiOs
1.0
0.0000 3.2528 3.2528
3.2528 0.0000 3.2528
3.2528 3.2528 0.0000
Rb Ni Os
1 1 1
direct
0.0000 0.0000 0.0000
0.7500 0.7500 0.7500
0.5000 0.5000 0.5000
```


#x
# RbNiOs

A geometry-optimized RbNiOs structure (PBE, the Open Quantum Materials Database).

Cell and atoms, written as POSCAR:
```
RbNiOs
1.0
0.0000 3.3388 3.3388
3.3388 0.0000 3.3388
3.3388 3.3388 0.0000
Rb Ni Os
1 1 1
direct
0.0000 0.0000 0.0000
0.7500 0.7500 0.7500
0.2500 0.2500 0.2500
```


Which of them is least stable? Easy: #x.


#w
# Sc2NiOs

A geometry-optimized Sc2NiOs structure (PBE, the Open Quantum Materials Database).

Cell and atoms, written as POSCAR:
```
Sc2NiOs
1.0
-2.2587 2.2587 3.1824
2.2587 -2.2587 3.1824
2.2587 2.2587 -3.1824
Sc Ni Os
2 1 1
direct
0.2500 0.7500 0.5000
0.7500 0.2500 0.5000
0.0000 0.0000 0.0000
0.5000 0.5000 0.0000
```


#x
# Sc2NiOs

A geometry-optimized Sc2NiOs structure (PBE, the Open Quantum Materials Database).

Cell and atoms, written as POSCAR:
```
Sc2NiOs
1.0
6.3418 0.0000 0.0000
0.0000 6.4890 0.0000
0.0000 0.0000 6.3184
Sc Ni Os
8 4 4
direct
0.2494 0.9997 0.2495
0.2494 0.5003 0.2495
0.2506 0.0003 0.7495
0.2506 0.4997 0.7495
0.7494 0.9997 0.2505
0.7494 0.5003 0.2505
0.7506 0.0003 0.7505
0.7506 0.4997 0.7505
0.0000 0.2500 0.0006
0.0000 0.7500 0.9994
0.5000 0.2500 0.4994
0.5000 0.7500 0.5006
0.0000 0.2500 0.4997
0.0000 0.7500 0.5003
0.5000 0.2500 0.0003
0.5000 0.7500 0.9997
```


Which of them is least stable? Easy: #x.